Entry 1:
SrZnCl2: relaxed, PBE-GGA.

Results
formation energy (no corrections)	-30.3	kcal/mol of atoms
electronic total energy	-2.98	eV/atom
space group	R3m

abc: 4.474 4.474 22.736
angles: 90.00 90.00 120.00
Fractional coordinates of all 12 atoms:
Sr 0.000 0.000 0.000
Sr 0.333 0.667 0.667
Sr 0.667 0.333 0.333
Zn 0.000 0.000 0.754
Zn 0.333 0.667 0.421
Zn 0.667 0.333 0.087
Cl 0.000 0.000 0.277
Cl 0.000 0.000 0.464
Cl 0.333 0.667 0.131
Cl 0.333 0.667 0.943
Cl 0.667 0.333 0.610
Cl 0.667 0.333 0.798

=====

Entry 2:
SrZnCl2: relaxed, PBE-GGA.

Results
formation energy (no corrections)	-32.7	kcal/mol of atoms
electronic total energy	-3.08	eV/atom
space group	Pm

abc: 4.447 4.432 5.900
angles: 90.00 111.98 90.00
Fractional coordinates of all 4 atoms:
Sr 0.000 0.000 0.000
Zn 0.792 0.500 0.595
Cl 0.271 0.000 0.545
Cl 0.554 0.500 0.114

=====

Entry 3:
SrZnCl2: relaxed, PBE-GGA.

Results
formation energy (no corrections)	-30.4	kcal/mol of atoms
electronic total energy	-2.98	eV/atom
space group	P4mm

abc: 4.209 4.209 6.010
angles: 90.00 90.00 90.00
Fractional coordinates of all 4 atoms:
Sr 0.000 0.000 0.000
Zn 0.500 0.500 0.364
Cl 0.000 0.000 0.504
Cl 0.500 0.500 0.825

=====

Entry 4:
SrZr2Cl: relaxed, PBE-GGA.

Results
formation energy (no corrections)	-5.7	kcal/mol of atoms
electronic total energy	-5.40	eV/atom
space group	C2/m

abc: 13.607 3.266 4.984
angles: 90.00 111.42 90.00
Fractional coordinates of all 8 atoms:
Sr 0.000 0.000 0.000
Sr 0.500 0.500 0.000
Zr 0.216 0.000 0.715
Zr 0.284 0.500 0.285
Zr 0.716 0.500 0.715
Zr 0.784 0.000 0.285
Cl 0.000 0.500 0.500
Cl 0.500 0.000 0.500

=====

Entry 5:
SrZr2Cl: relaxed, PBE-GGA.

Results
formation energy (no corrections)	-8.9	kcal/mol of atoms
electronic total energy	-5.54	eV/atom
space group	Amm2

abc: 3.337 4.842 12.563
angles: 90.00 90.00 90.00
Fractional coordinates of all 8 atoms:
Sr 0.000 0.000 0.000
Sr 0.000 0.500 0.500
Zr 0.000 0.000 0.725
Zr 0.000 0.500 0.225
Zr 0.500 0.000 0.303
Zr 0.500 0.500 0.803
Cl 0.500 0.000 0.521
Cl 0.500 0.500 0.021

=====

Entry 6:
Sr4ZrCl: relaxed, PBE-GGA.

Results
formation energy (no corrections)	11.7	kcal/mol of atoms
electronic total energy	-2.35	eV/atom
space group	F-43m

abc: 7.299 7.299 7.299
angles: 60.00 60.00 60.00
Fractional coordinates of all 6 atoms:
Sr 0.124 0.124 0.124
Sr 0.124 0.124 0.628
Sr 0.124 0.628 0.124
Sr 0.628 0.124 0.124
Zr 0.750 0.750 0.750
Cl 0.500 0.500 0.500

=====

Entry 7:
SrZr2Cl: relaxed, PBE-GGA.

Results
formation energy (no corrections)	10.2	kcal/mol of atoms
electronic total energy	-4.71	eV/atom
space group	I-4m2

abc: 4.792 4.792 9.143
angles: 90.00 90.00 90.00
Fractional coordinates of all 8 atoms:
Sr 0.000 0.000 0.000
Sr 0.500 0.500 0.500
Zr 0.000 0.000 0.500
Zr 0.000 0.500 0.750
Zr 0.500 0.000 0.250
Zr 0.500 0.500 0.000
Cl 0.000 0.500 0.250
Cl 0.500 0.000 0.750

=====

Entry 8:
Sr2ZrCl8: relaxed, PBE-GGA.

Results
formation energy (no corrections)	-48.1	kcal/mol of atoms
electronic total energy	-4.51	eV/atom
space group	C2/m

abc: 8.387 8.387 7.164
angles: 91.55 91.55 44.82
Fractional coordinates of all 11 atoms:
Sr 0.140 0.140 0.037
Sr 0.860 0.860 0.963
Zr 0.000 0.000 0.500
Cl 0.158 0.158 0.449
Cl 0.234 0.727 0.239
Cl 0.273 0.766 0.761
Cl 0.312 0.312 0.937
Cl 0.688 0.688 0.063
Cl 0.727 0.234 0.239
Cl 0.766 0.273 0.761
Cl 0.842 0.842 0.551

=====

Entry 9:
SrZrCl3: relaxed, PBE-GGA.

Results
formation energy (no corrections)	-27.7	kcal/mol of atoms
electronic total energy	-4.35	eV/atom
space group	Pm-3m

abc: 5.126 5.126 5.126
angles: 90.00 90.00 90.00
Fractional coordinates of all 5 atoms:
Sr 0.000 0.000 0.000
Zr 0.500 0.500 0.500
Cl 0.000 0.500 0.500
Cl 0.500 0.000 0.500
Cl 0.500 0.500 0.000

=====

Entry 10:
Sr2ZrCl: relaxed, PBE-GGA.

Results
formation energy (no corrections)	-5.3	kcal/mol of atoms
electronic total energy	-3.67	eV/atom
space group	Imm2

abc: 3.491 6.080 11.980
angles: 90.00 90.00 90.00
Fractional coordinates of all 8 atoms:
Sr 0.000 0.000 0.000
Sr 0.000 0.500 0.190
Sr 0.500 0.000 0.690
Sr 0.500 0.500 0.500
Zr 0.000 0.500 0.780
Zr 0.500 0.000 0.280
Cl 0.000 0.000 0.466
Cl 0.500 0.500 0.966

=====

Entry 11:
SrZr2Cl: relaxed, PBE-GGA.

Results
formation energy (no corrections)	4.9	kcal/mol of atoms
electronic total energy	-4.94	eV/atom
space group	Cmmm

abc: 5.504 13.114 3.314
angles: 90.00 90.00 90.00
Fractional coordinates of all 8 atoms:
Sr 0.000 0.000 0.000
Sr 0.500 0.500 0.000
Zr 0.250 0.250 0.500
Zr 0.250 0.750 0.500
Zr 0.750 0.250 0.500
Zr 0.750 0.750 0.500
Cl 0.000 0.500 0.000
Cl 0.500 0.000 0.000

=====

Entry 12:
SrZr3Cl: relaxed, PBE-GGA.

Results
formation energy (no corrections)	43.6	kcal/mol of atoms
electronic total energy	-3.94	eV/atom
space group	Pm-3m

abc: 5.351 5.351 5.351
angles: 90.00 90.00 90.00
Fractional coordinates of all 5 atoms:
Sr 0.000 0.000 0.000
Zr 0.000 0.000 0.500
Zr 0.000 0.500 0.000
Zr 0.500 0.000 0.000
Cl 0.500 0.500 0.500

=====

> Among the records above, which one has the highest electronic total energy?

Sr4ZrCl

=====

> Among the records above, which one has the highest electronic total energy?

Sr4ZrCl